[1]
Density functional theory data (GGA-PBE) for a geometry-optimized Fe2Ge2Bi structure.

```
Fe2Ge2Bi
1.0
3.707 0.000 0.000
0.000 3.707 0.000
1.853 1.853 5.913
Fe Bi Ge
2 1 2
direct
0.385 0.385 0.230 Fe
0.615 0.615 0.770 Fe
0.000 0.000 0.000 Bi
0.250 0.750 0.500 Ge
0.750 0.250 0.500 Ge
```

Properties
energy of formation from the pure elements	0.241	eV per atom
size of the total moment	1.5	μB/f.u.

***

[2]
Density functional theory data (GGA-PBE) for a geometry-optimized Y4HoTe2 structure.

```
Y4HoTe2
1.0
-3.478 3.796 1.766
-0.262 1.195 5.304
4.968 7.866 1.267
Te Ho Y
2 1 4
direct
0.616 0.616 0.151 Te
0.384 0.384 0.849 Te
0.500 0.500 0.500 Ho
0.266 0.266 0.201 Y
0.866 0.866 0.401 Y
0.134 0.134 0.599 Y
0.734 0.734 0.799 Y
```

Properties
size of the total moment	0.0	μB/f.u.
formation energy (no corrections)	-3.61	eV per formula unit

***

[3]
Density functional theory data (GGA-PBE) for a geometry-optimized Ho5Zn2Ag structure.

```
Ho5Zn2Ag
1.0
-5.769 -3.908 -2.212
4.148 -3.258 -5.061
2.607 -1.899 8.638
Ho Ag Zn
10 2 4
direct
0.317 0.817 0.300 Ho
0.500 0.500 0.000 Ho
0.183 0.017 0.700 Ho
0.000 0.000 0.000 Ho
0.683 0.183 0.700 Ho
0.517 0.683 0.700 Ho
0.483 0.317 0.300 Ho
0.817 0.983 0.300 Ho
0.983 0.483 0.300 Ho
0.017 0.517 0.700 Ho
0.250 0.250 0.500 Ag
0.750 0.750 0.500 Ag
0.622 0.122 0.000 Zn
0.378 0.878 0.000 Zn
0.122 0.378 0.000 Zn
0.878 0.622 0.000 Zn
```

Properties
energy of formation from the pure elements	-0.218	eV per atom
size of the total moment	0.0	μB/f.u.